## Ni15Pd2Rh2 (GGA-PBE)

Data for a relaxed Ni15Pd2Rh2 crystal.

Structure (CIF):
```
data_Ni15Pd2Rh2
_space_group_name_H-M_alt 'R -3 m'
_space_group_IT_number 166
_space_group_name_Hall '-R 3 2"'
_cell_length_a 8.1561
_cell_length_b 8.1561
_cell_length_c 12.1692
_cell_angle_alpha 90.00
_cell_angle_beta 90.00
_cell_angle_gamma 120.00
loop_
_atom_site_label
_atom_site_type_symbol
_atom_site_fract_x
_atom_site_fract_y
_atom_site_fract_z
Ni1 Ni 0.0000 0.3093 0.0000
Ni2 Ni 0.0000 0.5000 0.5000
Ni3 Ni 0.0060 0.5030 0.1535
Pd1 Pd 0.0000 0.0000 0.3563
Rh1 Rh 0.0000 0.0000 0.1022
```

Summary:
The value obtained for the calculated formation energy is 2.859 eV/f.u. The value obtained for the total energy is -5.734 eV per atom.

=====

## NiPdRh (GGA-PBE)

Data for a relaxed NiPdRh crystal.

Structure (CIF):
```
data_NiPdRh
_space_group_name_H-M_alt 'C 1 m 1'
_space_group_IT_number 8
_cell_length_a 10.0060
_cell_length_b 2.7257
_cell_length_c 6.2894
_cell_angle_alpha 90.00
_cell_angle_beta 105.53
_cell_angle_gamma 90.00
loop_
_space_group_symop_operation_xyz
'x,y,z'
'x,-y,z'
'x+1/2,y+1/2,z'
'x+1/2,-y+1/2,z'
loop_
_atom_site_label
_atom_site_type_symbol
_atom_site_fract_x
_atom_site_fract_y
_atom_site_fract_z
Ni1 Ni 0.0000 0.0000 0.0000
Ni2 Ni 0.2091 0.5000 0.9424
Pd1 Pd 0.0485 0.0000 0.6079
Pd2 Pd 0.3275 0.0000 0.6827
Rh1 Rh 0.1597 0.5000 0.3154
Rh2 Rh 0.3784 0.0000 0.2503
```

Summary:
The value obtained for the polymorph energy (0 for the lowest one) is 0.021 eV per atom. The value obtained for the calculated formation energy is 0.233 eV/f.u. The value obtained for the total energy is -6.031 eV per atom.

=====

## Ni2PdRh (GGA-PBE)

Data for a relaxed Ni2PdRh crystal.

Structure (CIF):
```
data_Ni2PdRh
_space_group_name_H-M_alt 'I -4 2 d'
_space_group_IT_number 122
_space_group_name_Hall 'I -4 2bw'
_cell_length_a 6.5996
_cell_length_b 6.5996
_cell_length_c 5.2616
_cell_angle_alpha 90.00
_cell_angle_beta 90.00
_cell_angle_gamma 90.00
loop_
_atom_site_label
_atom_site_type_symbol
_atom_site_fract_x
_atom_site_fract_y
_atom_site_fract_z
Ni1 Ni 0.2402 0.2500 0.1250
Pd1 Pd 0.0000 0.0000 0.5000
Rh1 Rh 0.0000 0.0000 0.0000
```

Summary:
The value obtained for the calculated formation energy is 1.904 eV/f.u. The value obtained for the total energy is -5.551 eV per atom.

=====

## NiPd6Rh (GGA-PBE)

Data for a relaxed NiPd6Rh crystal.

Structure (CIF):
```
data_NiPd6Rh
_space_group_name_H-M_alt 'P 4/m m m'
_space_group_IT_number 123
_space_group_name_Hall '-P 4 2'
_cell_length_a 3.8965
_cell_length_b 3.8965
_cell_length_c 7.8233
_cell_angle_alpha 90.00
_cell_angle_beta 90.00
_cell_angle_gamma 90.00
loop_
_atom_site_label
_atom_site_type_symbol
_atom_site_fract_x
_atom_site_fract_y
_atom_site_fract_z
Ni1 Ni 0.0000 0.0000 0.0000
Pd1 Pd 0.0000 0.5000 0.2454
Pd2 Pd 0.5000 0.5000 0.0000
Pd3 Pd 0.5000 0.5000 0.5000
Rh1 Rh 0.0000 0.0000 0.5000
```

Summary:
The value obtained for the polymorph energy (0 for the lowest one) is 0.000 eV per atom. The value obtained for the calculated formation energy is 0.424 eV/f.u. The value obtained for the total energy is -5.483 eV per atom.

=====

## NiPdRh (GGA-PBE)

Data for a relaxed NiPdRh crystal.

Structure (CIF):
```
data_NiPdRh
_space_group_name_H-M_alt 'C 1 m 1'
_space_group_IT_number 8
_cell_length_a 8.5528
_cell_length_b 3.7900
_cell_length_c 5.3847
_cell_angle_alpha 90.00
_cell_angle_beta 109.39
_cell_angle_gamma 90.00
loop_
_space_group_symop_operation_xyz
'x,y,z'
'x,-y,z'
'x+1/2,y+1/2,z'
'x+1/2,-y+1/2,z'
loop_
_atom_site_label
_atom_site_type_symbol
_atom_site_fract_x
_atom_site_fract_y
_atom_site_fract_z
Ni1 Ni 0.0000 0.0000 0.0000
Ni2 Ni 0.1723 0.5000 0.8352
Pd1 Pd 0.1684 0.5000 0.3336
Pd2 Pd 0.3333 0.0000 0.1611
Rh1 Rh 0.0130 0.0000 0.5271
Rh2 Rh 0.3467 0.0000 0.6801
```

Summary:
The value obtained for the polymorph energy (0 for the lowest one) is 0.013 eV per atom. The value obtained for the calculated formation energy is 0.208 eV/f.u. The value obtained for the total energy is -6.039 eV per atom.

=====

## Ni2PdRh2 (GGA-PBE)

Data for a relaxed Ni2PdRh2 crystal.

Structure (CIF):
```
data_Ni2PdRh2
_space_group_name_H-M_alt 'P 4/m b m'
_space_group_IT_number 127
_space_group_name_Hall '-P 4 2ab'
_cell_length_a 7.1748
_cell_length_b 7.1748
_cell_length_c 2.6972
_cell_angle_alpha 90.00
_cell_angle_beta 90.00
_cell_angle_gamma 90.00
loop_
_atom_site_label
_atom_site_type_symbol
_atom_site_fract_x
_atom_site_fract_y
_atom_site_fract_z
Ni1 Ni 0.1675 0.3325 0.0000
Pd1 Pd 0.0000 0.0000 0.5000
Rh1 Rh 0.1296 0.6296 0.5000
```

Summary:
The value obtained for the polymorph energy (0 for the lowest one) is 0.070 eV per atom. The value obtained for the calculated formation energy is 1.088 eV/f.u. The value obtained for the total energy is -6.074 eV per atom.

=====

## NiPdRh (GGA-PBE)

Data for a relaxed NiPdRh crystal.

Structure (CIF):
```
data_NiPdRh
_space_group_name_H-M_alt 'P 3 m 1'
_space_group_IT_number 156
_cell_length_a 2.7085
_cell_length_b 2.7085
_cell_length_c 6.5108
_cell_angle_alpha 90.00
_cell_angle_beta 90.00
_cell_angle_gamma 120.00
loop_
_space_group_symop_operation_xyz
'x,y,z'
'-y,x-y,z'
'-x+y,-x,z'
'-y,-x,z'
'-x+y,y,z'
'x,x-y,z'
loop_
_atom_site_label
_atom_site_type_symbol
_atom_site_fract_x
_atom_site_fract_y
_atom_site_fract_z
Ni1 Ni 0.0000 0.0000 0.0000
Pd1 Pd 0.6667 0.3333 0.3282
Rh1 Rh 0.3333 0.6667 0.6869
```

Summary:
The value obtained for the polymorph energy (0 for the lowest one) is 0.017 eV per atom. The value obtained for the calculated formation energy is 0.220 eV/f.u. The value obtained for the total energy is -6.035 eV per atom.

=====

## NiPdRh (GGA-PBE)

Data for a relaxed NiPdRh crystal.

Structure (CIF):
```
data_NiPdRh
_space_group_name_H-M_alt 'P 1 m 1'
_space_group_IT_number 6
_cell_length_a 4.6335
_cell_length_b 2.7126
_cell_length_c 6.5514
_cell_angle_alpha 90.00
_cell_angle_beta 91.02
_cell_angle_gamma 90.00
loop_
_space_group_symop_operation_xyz
'x,y,z'
'x,-y,z'
loop_
_atom_site_label
_atom_site_type_symbol
_atom_site_fract_x
_atom_site_fract_y
_atom_site_fract_z
Ni1 Ni 0.0000 0.0000 0.0000
Ni2 Ni 0.3391 0.0000 0.6689
Pd1 Pd 0.1666 0.5000 0.3326
Pd2 Pd 0.8398 0.5000 0.6736
Rh1 Rh 0.4917 0.5000 0.9926
Rh2 Rh 0.6648 0.0000 0.3256
```

Summary:
The value obtained for the polymorph energy (0 for the lowest one) is 0.021 eV per atom. The value obtained for the calculated formation energy is 0.233 eV/f.u. The value obtained for the total energy is -6.031 eV per atom.

=====

## Ni3PdRh (GGA-PBE)

Data for a relaxed Ni3PdRh crystal.

Structure (CIF):
```
data_Ni3PdRh
_space_group_name_H-M_alt 'P -1'
_space_group_IT_number 2
_cell_length_a 4.5143
_cell_length_b 4.5233
_cell_length_c 6.9034
_cell_angle_alpha 72.08
_cell_angle_beta 71.47
_cell_angle_gamma 80.52
loop_
_space_group_symop_operation_xyz
'x,y,z'
'-x,-y,-z'
loop_
_atom_site_label
_atom_site_type_symbol
_atom_site_fract_x
_atom_site_fract_y
_atom_site_fract_z
Ni1 Ni 0.0479 0.2546 0.1486
Ni2 Ni 0.1403 0.7577 0.4476
Ni3 Ni 0.2411 0.2508 0.7546
Pd1 Pd 0.4484 0.2580 0.3548
Rh1 Rh 0.3383 0.7588 0.0530
```

Summary:
The value obtained for the polymorph energy (0 for the lowest one) is 0.000 eV per atom. The value obtained for the calculated formation energy is 0.240 eV/f.u. The value obtained for the total energy is -5.930 eV per atom.

=====

## Ni2PdRh (GGA-PBE)

Data for a relaxed Ni2PdRh crystal.

Structure (CIF):
```
data_Ni2PdRh
_space_group_name_H-M_alt 'P m m m'
_space_group_IT_number 47
_cell_length_a 2.6777
_cell_length_b 3.6171
_cell_length_c 5.4103
_cell_angle_alpha 90.00
_cell_angle_beta 90.00
_cell_angle_gamma 90.00
loop_
_space_group_symop_operation_xyz
'x,y,z'
'-x,-y,-z'
'-x,-y,z'
'x,y,-z'
'x,-y,-z'
'-x,y,z'
'-x,y,-z'
'x,-y,z'
loop_
_atom_site_label
_atom_site_type_symbol
_atom_site_fract_x
_atom_site_fract_y
_atom_site_fract_z
Ni1 Ni 0.0000 0.0000 0.2391
Pd1 Pd 0.5000 0.5000 0.5000
Rh1 Rh 0.5000 0.5000 0.0000
```

Summary:
The value obtained for the calculated formation energy is 0.190 eV/f.u. The value obtained for the total energy is -5.979 eV per atom.

=====

Question: total energy of number 4 (NiPd6Rh)?
Answer: -5.483 eV per atom

=====

Please write out number 9 again, unchanged.
## Ni3PdRh (GGA-PBE)

Data for a relaxed Ni3PdRh crystal.

Structure (CIF):
```
data_Ni3PdRh
_space_group_name_H-M_alt 'P -1'
_space_group_IT_number 2
_cell_length_a 4.5143
_cell_length_b 4.5233
_cell_length_c 6.9034
_cell_angle_alpha 72.08
_cell_angle_beta 71.47
_cell_angle_gamma 80.52
loop_
_space_group_symop_operation_xyz
'x,y,z'
'-x,-y,-z'
loop_
_atom_site_label
_atom_site_type_symbol
_atom_site_fract_x
_atom_site_fract_y
_atom_site_fract_z
Ni1 Ni 0.0479 0.2546 0.1486
Ni2 Ni 0.1403 0.7577 0.4476
Ni3 Ni 0.2411 0.2508 0.7546
Pd1 Pd 0.4484 0.2580 0.3548
Rh1 Rh 0.3383 0.7588 0.0530
```

Summary:
The value obtained for the polymorph energy (0 for the lowest one) is 0.000 eV per atom. The value obtained for the calculated formation energy is 0.240 eV/f.u. The value obtained for the total energy is -5.930 eV per atom.

=====

Question: Which value of calculated formation energy does entry 6 give?
Answer: 1.088 eV/f.u.

=====

Question: The lowest calculated formation energy belongs to which entry?
Answer: number 10